1.
# PBE PmGaPb, relaxed
data_PmGaPb
_cell_length_a 7.3705
_cell_length_b 6.1811
_cell_length_c 5.8986
_cell_angle_alpha 75.16
_cell_angle_beta 54.16
_cell_angle_gamma 50.68
_symmetry_space_group_name_H-M 'P 1'
_symmetry_Int_Tables_number 1
_symmetry_space_group_name_Hall 'P 1'
loop_
_atom_site_label
_atom_site_type_symbol
_atom_site_fract_x
_atom_site_fract_y
_atom_site_fract_z
Pm1 Pm 0.1645 0.1645 0.8355
Pm2 Pm 0.8355 0.8355 0.1645
Ga1 Ga 0.2500 0.2500 0.2500
Ga2 Ga 0.7500 0.7500 0.7500
Pb1 Pb 0.3412 0.6588 0.3412
Pb2 Pb 0.6588 0.3412 0.6588
# **Size of the total moment**: 0.00 μB per formula unit
# **Excess energy over the best structure of this formula in the dataset**: 221 meV per atom
# **DFT formation energy**: -242.6 meV/atom
# **Electronic total energy**: -0.299 Ry/atom
# **Space group**: Fmmm (69)

2.
# PBE PmGaPb2, relaxed
data_PmGaPb2
_cell_length_a 11.1917
_cell_length_b 11.1917
_cell_length_c 11.1917
_cell_angle_alpha 18.37
_cell_angle_beta 18.37
_cell_angle_gamma 18.37
_symmetry_space_group_name_H-M 'P 1'
_symmetry_Int_Tables_number 1
_symmetry_space_group_name_Hall 'P 1'
loop_
_atom_site_label
_atom_site_type_symbol
_atom_site_fract_x
_atom_site_fract_y
_atom_site_fract_z
Pm1 Pm 0.0000 0.0000 0.0000
Ga1 Ga 0.5000 0.5000 0.5000
Pb1 Pb 0.0973 0.0973 0.0973
Pb2 Pb 0.9027 0.9027 0.9027
# **Size of the total moment**: 0.00 μB per formula unit
# **Excess energy over the best structure of this formula in the dataset**: 485 meV per atom
# **DFT formation energy**: 111.0 meV/atom
# **Electronic total energy**: -0.271 Ry/atom
# **Space group**: R-3m (166)

3.
# PBE Pm5GaPb2, relaxed
data_Pm5GaPb2
_cell_length_a 8.1916
_cell_length_b 12.6170
_cell_length_c 4.8064
_cell_angle_alpha 90.00
_cell_angle_beta 90.00
_cell_angle_gamma 90.00
_symmetry_space_group_name_H-M 'P 1'
_symmetry_Int_Tables_number 1
_symmetry_space_group_name_Hall 'P 1'
loop_
_atom_site_label
_atom_site_type_symbol
_atom_site_fract_x
_atom_site_fract_y
_atom_site_fract_z
Pm1 Pm 0.0000 0.0000 0.0000
Pm2 Pm 0.1529 0.2843 0.0000
Pm3 Pm 0.1908 0.5669 0.5000
Pm4 Pm 0.3092 0.0669 0.5000
Pm5 Pm 0.3471 0.7843 0.0000
Pm6 Pm 0.5000 0.5000 0.0000
Pm7 Pm 0.6529 0.2157 0.0000
Pm8 Pm 0.6908 0.9331 0.5000
Pm9 Pm 0.8092 0.4331 0.5000
Pm10 Pm 0.8471 0.7157 0.0000
Ga1 Ga 0.0000 0.5000 0.0000
Ga2 Ga 0.5000 0.0000 0.0000
Pb1 Pb 0.0771 0.8286 0.5000
Pb2 Pb 0.4229 0.3286 0.5000
Pb3 Pb 0.5771 0.6714 0.5000
Pb4 Pb 0.9229 0.1714 0.5000
# **Size of the total moment**: 0.00 μB per formula unit
# **Excess energy over the best structure of this formula in the dataset**: 0 meV per atom
# **DFT formation energy**: -496.0 meV/atom
# **Electronic total energy**: -0.351 Ry/atom
# **Space group**: Pbam (55)

4.
# PBE PmGaPb, relaxed
data_PmGaPb
_cell_length_a 4.5394
_cell_length_b 4.5394
_cell_length_c 4.5307
_cell_angle_alpha 90.00
_cell_angle_beta 90.00
_cell_angle_gamma 120.00
_symmetry_space_group_name_H-M 'P 1'
_symmetry_Int_Tables_number 1
_symmetry_space_group_name_Hall 'P 1'
loop_
_atom_site_label
_atom_site_type_symbol
_atom_site_fract_x
_atom_site_fract_y
_atom_site_fract_z
Pm1 Pm 0.0000 0.0000 0.0000
Ga1 Ga 0.6667 0.3333 0.3233
Pb1 Pb 0.3333 0.6667 0.5667
# **Size of the total moment**: 0.00 μB per formula unit
# **Excess energy over the best structure of this formula in the dataset**: 0 meV per atom
# **DFT formation energy**: -463.7 meV/atom
# **Electronic total energy**: -0.315 Ry/atom
# **Space group**: P3m1 (156)

5.
# PBE Pm6Ga2Pb3, relaxed
data_Pm6Ga2Pb3
_cell_length_a 11.6627
_cell_length_b 11.6627
_cell_length_c 11.6627
_cell_angle_alpha 151.41
_cell_angle_beta 151.41
_cell_angle_gamma 40.87
_symmetry_space_group_name_H-M 'P 1'
_symmetry_Int_Tables_number 1
_symmetry_space_group_name_Hall 'P 1'
loop_
_atom_site_label
_atom_site_type_symbol
_atom_site_fract_x
_atom_site_fract_y
_atom_site_fract_z
Pm1 Pm 0.0818 0.5818 0.5000
Pm2 Pm 0.1924 0.1924 0.0000
Pm3 Pm 0.4182 0.9182 0.5000
Pm4 Pm 0.5818 0.0818 0.5000
Pm5 Pm 0.8076 0.8076 0.0000
Pm6 Pm 0.9182 0.4182 0.5000
Ga1 Ga 0.0596 0.0596 0.0000
Ga2 Ga 0.9404 0.9404 0.0000
Pb1 Pb 0.3387 0.3387 0.0000
Pb2 Pb 0.5000 0.5000 0.0000
Pb3 Pb 0.6613 0.6613 0.0000
# **Size of the total moment**: 0.00 μB per formula unit
# **DFT formation energy**: -239.9 meV/atom
# **Electronic total energy**: -0.323 Ry/atom
# **Space group**: I4/mmm (139)

6.
# PBE Pm6GaPb3, relaxed
data_Pm6GaPb3
_cell_length_a 11.2180
_cell_length_b 4.5568
_cell_length_c 13.6710
_cell_angle_alpha 90.00
_cell_angle_beta 112.29
_cell_angle_gamma 90.00
_symmetry_space_group_name_H-M 'P 1'
_symmetry_Int_Tables_number 1
_symmetry_space_group_name_Hall 'P 1'
loop_
_atom_site_label
_atom_site_type_symbol
_atom_site_fract_x
_atom_site_fract_y
_atom_site_fract_z
Pm1 Pm 0.0227 0.2500 0.3580
Pm2 Pm 0.0736 0.2500 0.8979
Pm3 Pm 0.2566 0.7500 0.3374
Pm4 Pm 0.3454 0.7500 0.1196
Pm5 Pm 0.3474 0.7500 0.7848
Pm6 Pm 0.4026 0.2500 0.5640
Pm7 Pm 0.5974 0.7500 0.4360
Pm8 Pm 0.6526 0.2500 0.2152
Pm9 Pm 0.6546 0.2500 0.8804
Pm10 Pm 0.7434 0.2500 0.6626
Pm11 Pm 0.9264 0.7500 0.1021
Pm12 Pm 0.9773 0.7500 0.6420
Ga1 Ga 0.4302 0.2500 0.3036
Ga2 Ga 0.5698 0.7500 0.6964
Pb1 Pb 0.1400 0.2500 0.1511
Pb2 Pb 0.1808 0.7500 0.5355
Pb3 Pb 0.3861 0.2500 0.9601
Pb4 Pb 0.6139 0.7500 0.0399
Pb5 Pb 0.8192 0.2500 0.4645
Pb6 Pb 0.8600 0.7500 0.8489
# **Size of the total moment**: 0.05 μB per formula unit
# **DFT formation energy**: -383.5 meV/atom
# **Electronic total energy**: -0.342 Ry/atom
# **Space group**: P2_1/m (11)

7.
# PBE Pm3GaPb3, relaxed
data_Pm3GaPb3
_cell_length_a 8.9696
_cell_length_b 8.9696
_cell_length_c 5.8731
_cell_angle_alpha 90.00
_cell_angle_beta 90.00
_cell_angle_gamma 120.00
_symmetry_space_group_name_H-M 'P 1'
_symmetry_Int_Tables_number 1
_symmetry_space_group_name_Hall 'P 1'
loop_
_atom_site_label
_atom_site_type_symbol
_atom_site_fract_x
_atom_site_fract_y
_atom_site_fract_z
Pm1 Pm 0.0909 0.6392 0.2500
Pm2 Pm 0.3608 0.4516 0.2500
Pm3 Pm 0.4516 0.0909 0.7500
Pm4 Pm 0.5484 0.9091 0.2500
Pm5 Pm 0.6392 0.5484 0.7500
Pm6 Pm 0.9091 0.3608 0.7500
Ga1 Ga 0.3333 0.6667 0.7500
Ga2 Ga 0.6667 0.3333 0.2500
Pb1 Pb 0.0632 0.7967 0.7500
Pb2 Pb 0.2033 0.2664 0.7500
Pb3 Pb 0.2664 0.0632 0.2500
Pb4 Pb 0.7336 0.9368 0.7500
Pb5 Pb 0.7967 0.7336 0.2500
Pb6 Pb 0.9368 0.2033 0.2500
# **Size of the total moment**: 0.00 μB per formula unit
# **DFT formation energy**: -306.8 meV/atom
# **Electronic total energy**: -0.321 Ry/atom
# **Space group**: P6_3/m (176)

8.
# PBE Pm7GaPb2, relaxed
data_Pm7GaPb2
_cell_length_a 5.3767
_cell_length_b 5.3767
_cell_length_c 12.9190
_cell_angle_alpha 90.00
_cell_angle_beta 90.00
_cell_angle_gamma 120.00
_symmetry_space_group_name_H-M 'P 1'
_symmetry_Int_Tables_number 1
_symmetry_space_group_name_Hall 'P 1'
loop_
_atom_site_label
_atom_site_type_symbol
_atom_site_fract_x
_atom_site_fract_y
_atom_site_fract_z
Pm1 Pm 0.0000 0.0000 0.0000
Pm2 Pm 0.0000 0.0000 0.2492
Pm3 Pm 0.0000 0.0000 0.7370
Pm4 Pm 0.3333 0.6667 0.3928
Pm5 Pm 0.3333 0.6667 0.8942
Pm6 Pm 0.6667 0.3333 0.1336
Pm7 Pm 0.6667 0.3333 0.5742
Ga1 Ga 0.3333 0.6667 0.1427
Pb1 Pb 0.0000 0.0000 0.4939
Pb2 Pb 0.6667 0.3333 0.8425
# **Size of the total moment**: 0.00 μB per formula unit
# **DFT formation energy**: -221.0 meV/atom
# **Electronic total energy**: -0.337 Ry/atom
# **Space group**: P3m1 (156)

Q: Among the records above, which one has the highest electronic total energy?
A: PmGaPb2